Entry from Alexandria via LeMat-Bulk: a geometry-optimized DyNpTe2O structure (GGA-PBE).

Geometry as CIF:
```
data_DyNpTe2O
_cell_length_a 4.159
_cell_length_b 4.159
_cell_length_c 15.453
_cell_angle_alpha 90.00
_cell_angle_beta 90.00
_cell_angle_gamma 90.00
_symmetry_space_group_name_H-M 'P 1'
_symmetry_Int_Tables_number 1
_symmetry_space_group_name_Hall 'P 1'
loop_
_atom_site_label
_atom_site_type_symbol
_atom_site_fract_x
_atom_site_fract_y
_atom_site_fract_z
_atom_site_occupancy
Dy1 Dy 0.250 0.250 0.128 1
Dy2 Dy 0.750 0.750 0.872 1
Np1 Np 0.250 0.250 0.570 1
Np2 Np 0.750 0.750 0.430 1
Te1 Te 0.250 0.250 0.319 1
Te2 Te 0.250 0.250 0.913 1
Te3 Te 0.750 0.750 0.087 1
Te4 Te 0.750 0.750 0.681 1
O1 O 0.250 0.750 0.500 1
O2 O 0.750 0.250 0.500 1
```

Computed properties:
Electronic total energy, eV/atom: -7.50
Density of states at the Fermi level, states/eV per atom: 1.194
Uncorrected formation energy, kJ/mol of atoms: -169

Entry from Alexandria via LeMat-Bulk: a geometry-optimized DyThNpO6 structure (GGA-PBE).

Geometry as CIF:
```
data_DyThNpO6
_cell_length_a 5.793
_cell_length_b 5.793
_cell_length_c 9.739
_cell_angle_alpha 90.00
_cell_angle_beta 90.00
_cell_angle_gamma 120.00
_symmetry_space_group_name_H-M 'P 1'
_symmetry_Int_Tables_number 1
_symmetry_space_group_name_Hall 'P 1'
loop_
_atom_site_label
_atom_site_type_symbol
_atom_site_fract_x
_atom_site_fract_y
_atom_site_fract_z
_atom_site_occupancy
Dy1 Dy 0.333 0.667 0.250 1
Dy2 Dy 0.667 0.333 0.750 1
Th1 Th 0.000 0.000 0.000 1
Th2 Th 0.000 0.000 0.500 1
Np1 Np 0.333 0.667 0.750 1
Np2 Np 0.667 0.333 0.250 1
O1 O 0.017 0.349 0.634 1
O2 O 0.017 0.668 0.866 1
O3 O 0.332 0.349 0.866 1
O4 O 0.332 0.983 0.634 1
O5 O 0.349 0.017 0.134 1
O6 O 0.349 0.332 0.366 1
O7 O 0.651 0.668 0.634 1
O8 O 0.651 0.983 0.866 1
O9 O 0.668 0.017 0.366 1
O10 O 0.668 0.651 0.134 1
O11 O 0.983 0.332 0.134 1
O12 O 0.983 0.651 0.366 1
```

Computed properties:
Electronic total energy, eV/atom: -9.40
Density of states at the Fermi level, states/eV per atom: 0.913
Uncorrected formation energy, kJ/mol of atoms: -320

Entry from Alexandria via LeMat-Bulk: a geometry-optimized Dy2TmNpO8 structure (GGA-PBE).

Geometry as CIF:
```
data_Dy2TmNpO8
_cell_length_a 5.073
_cell_length_b 5.073
_cell_length_c 6.954
_cell_angle_alpha 90.00
_cell_angle_beta 90.00
_cell_angle_gamma 91.22
_symmetry_space_group_name_H-M 'P 1'
_symmetry_Int_Tables_number 1
_symmetry_space_group_name_Hall 'P 1'
loop_
_atom_site_label
_atom_site_type_symbol
_atom_site_fract_x
_atom_site_fract_y
_atom_site_fract_z
_atom_site_occupancy
Dy1 Dy 0.000 0.000 0.240 1
Dy2 Dy 0.000 0.000 0.760 1
Tm1 Tm 0.500 0.500 0.000 1
Np1 Np 0.500 0.500 0.500 1
O1 O 0.195 0.195 0.000 1
O2 O 0.217 0.217 0.500 1
O3 O 0.318 0.682 0.274 1
O4 O 0.318 0.682 0.726 1
O5 O 0.682 0.318 0.274 1
O6 O 0.682 0.318 0.726 1
O7 O 0.783 0.783 0.500 1
O8 O 0.805 0.805 0.000 1
```

Computed properties:
Electronic total energy, eV/atom: -8.73
Uncorrected formation energy, kJ/mol of atoms: -309

Entry from Alexandria via LeMat-Bulk: a geometry-optimized Dy2YNpO8 structure (GGA-PBE).

Geometry as CIF:
```
data_Dy2YNpO8
_cell_length_a 5.088
_cell_length_b 5.088
_cell_length_c 7.008
_cell_angle_alpha 90.00
_cell_angle_beta 90.00
_cell_angle_gamma 91.00
_symmetry_space_group_name_H-M 'P 1'
_symmetry_Int_Tables_number 1
_symmetry_space_group_name_Hall 'P 1'
loop_
_atom_site_label
_atom_site_type_symbol
_atom_site_fract_x
_atom_site_fract_y
_atom_site_fract_z
_atom_site_occupancy
Dy1 Dy 0.000 0.000 0.241 1
Dy2 Dy 0.000 0.000 0.759 1
Y1 Y 0.500 0.500 0.000 1
Np1 Np 0.500 0.500 0.500 1
O1 O 0.192 0.192 0.000 1
O2 O 0.218 0.218 0.500 1
O3 O 0.317 0.683 0.278 1
O4 O 0.317 0.683 0.722 1
O5 O 0.683 0.317 0.278 1
O6 O 0.683 0.317 0.722 1
O7 O 0.782 0.782 0.500 1
O8 O 0.808 0.808 0.000 1
```

Computed properties:
Electronic total energy, eV/atom: -8.88
Uncorrected formation energy, kJ/mol of atoms: -308